1.
A plane-wave DFT calculation with PBE-GGA was carried out for crystalline Pa2Sn2HIr4 at its relaxed geometry.

Structure (CIF):
```
data_Pa2Sn2HIr4
_chemical_formula_sum 'Pa2 Sn2 H1 Ir4'
_cell_length_a 6.033
_cell_length_b 6.033
_cell_length_c 6.033
_cell_angle_alpha 92.80
_cell_angle_beta 118.39
_cell_angle_gamma 118.39
_space_group_name_H-M_alt 'P 1'
_space_group_IT_number 1
_space_group_name_Hall 'P 1'
loop_
_atom_site_label
_atom_site_type_symbol
_atom_site_fract_x
_atom_site_fract_y
_atom_site_fract_z
Pa1 Pa 0.000 0.715 0.715
Pa2 Pa 0.000 0.285 0.285
Sn1 Sn 0.500 0.750 0.250
Sn2 Sn 0.500 0.250 0.750
H1 H 0.000 0.000 0.000
Ir1 Ir 0.000 0.759 0.241
Ir2 Ir 0.519 0.759 0.759
Ir3 Ir 0.000 0.241 0.759
Ir4 Ir 0.481 0.241 0.241
```

Calculated values
- Space-group type: No. 139
- Electronic total energy: -68.3 eV/cell

---

2.
A plane-wave DFT calculation with PBE-GGA was carried out for crystalline PaZnH6Ir at its relaxed geometry.

Structure (CIF):
```
data_PaZnH6Ir
_chemical_formula_sum 'Pa1 Zn1 H6 Ir1'
_cell_length_a 4.451
_cell_length_b 4.451
_cell_length_c 4.418
_cell_angle_alpha 90.00
_cell_angle_beta 90.00
_cell_angle_gamma 60.00
_space_group_name_H-M_alt 'P 1'
_space_group_IT_number 1
_space_group_name_Hall 'P 1'
loop_
_atom_site_label
_atom_site_type_symbol
_atom_site_fract_x
_atom_site_fract_y
_atom_site_fract_z
Pa1 Pa 0.000 0.000 0.000
Zn1 Zn 0.667 0.667 0.500
H1 H 0.016 0.492 0.194
H2 H 0.492 0.016 0.806
H3 H 0.492 0.492 0.806
H4 H 0.016 0.492 0.806
H5 H 0.492 0.492 0.194
H6 H 0.492 0.016 0.194
Ir1 Ir 0.333 0.333 0.500
```

Calculated values
- Space-group type: No. 187
- Electronic total energy: -40.7 eV/cell

---

The records above give, respectively, N(E_F) values of 0.87 0.37 states/eV/atom.